This record from Alexandria describes an optimized crystal structure of TlNiI2O. The functional is GGA+U.

The space-group type is P4/mmm, No. 123. The calculation puts the mass density at 5.777 Mg/m³. As for the density of states at the Fermi level: 4.287 states/eV/f.u. The energy above the most stable polymorph in this dataset is 531 meV/atom. The calculation puts the volume at 30.63 Å³/atom. Its total moment is 1.0 μB/f.u.

Unit cell a=6.1331 b=6.1331 c=4.0718 alpha=90.00 beta=90.00 gamma=90.00
Fractional positions:
Tl1 0.0000 0.0000 0.0000
Ni1 0.5000 0.5000 0.5000
I1 0.0000 0.5000 0.0000
I2 0.5000 0.0000 0.0000
O1 0.0000 0.0000 0.5000